Material: Cr2RhBr
Method: DFT, GGA-PBEsol
State: optimized geometry

a = 3.0345 Å, b = 4.3479 Å, c = 4.4391 Å
α = 90.00°, β = 90.00°, γ = 90.00°
Fractional coordinates of all 4 atoms:
Cr  0.0000  0.0000  0.0000
Cr  0.5000  0.5000  0.0000
Br  0.0000  0.5000  0.5000
Rh  0.5000  0.0000  0.5000

Computed properties:
polymorph energy (0 for the lowest one) = 0.177 eV/atom

=====

Material: LiLa2Hg
Method: DFT, GGA-PBEsol
State: optimized geometry

a = 3.5368 Å, b = 4.8682 Å, c = 6.5443 Å
α = 90.00°, β = 105.68°, γ = 90.00°
Fractional coordinates of all 4 atoms:
La  0.9600  0.0000  0.9200
La  0.2880  0.5000  0.5760
Hg  0.5670  0.5000  0.1340
Li  0.6819  0.0000  0.3637

Computed properties:
energy of formation = -0.2331 eV/atom

=====

Material: ZrFe2Re
Method: DFT, GGA-PBEsol
State: optimized geometry

a = 3.1630 Å, b = 4.3456 Å, c = 4.9506 Å
α = 116.03°, β = 108.63°, γ = 90.00°
Fractional coordinates of all 4 atoms:
Fe  0.7603  0.7603  0.5206
Fe  0.2397  0.2397  0.4794
Re  0.5000  0.0000  0.0000
Zr  0.0000  0.5000  0.0000

Computed properties:
energy of formation = 0.1100 eV/atom

=====

Material: MgGa2PbN
Method: DFT, GGA-PBEsol
State: optimized geometry

a = 4.9431 Å, b = 4.9431 Å, c = 5.4915 Å
α = 90.00°, β = 90.00°, γ = 90.00°
Fractional coordinates of all 5 atoms:
Pb  0.0000  0.0000  0.5000
N  0.5000  0.5000  0.5000
Mg  0.0000  0.0000  0.0000
Ga  0.0000  0.5000  0.0000
Ga  0.5000  0.0000  0.0000

Computed properties:
E = -13.48 eV per cell

=====

Material: GeClF2
Method: DFT, GGA-PBEsol
State: optimized geometry

a = 3.4257 Å, b = 3.4257 Å, c = 9.0141 Å
α = 79.05°, β = 79.05°, γ = 60.00°
Fractional coordinates of all 4 atoms:
Ge  0.5000  0.5000  0.5000
Cl  0.0000  0.0000  0.0000
F  0.8712  0.8712  0.3865
F  0.1288  0.1288  0.6135

Computed properties:
E = -15.20 eV per cell

=====

Material: MgTlRu
Method: DFT, GGA-PBEsol
State: optimized geometry

a = 4.3583 Å, b = 4.3583 Å, c = 4.3583 Å
α = 60.00°, β = 60.00°, γ = 60.00°
Fractional coordinates of all 3 atoms:
Ru  0.0000  0.0000  0.0000
Mg  0.2500  0.2500  0.2500
Tl  0.5000  0.5000  0.5000

Computed properties:
energy of formation = 0.7645 eV/atom

=====

Material: Cr2SiOs
Method: DFT, GGA-PBEsol
State: optimized geometry

a = 2.6836 Å, b = 3.7751 Å, c = 4.8099 Å
α = 90.00°, β = 89.93°, γ = 90.00°
Fractional coordinates of all 4 atoms:
Os  0.5000  0.5000  0.0000
Cr  0.0001  0.0000  0.7297
Cr  0.9999  0.0000  0.2703
Si  0.5000  0.5000  0.5000

Computed properties:
E = -39.08 eV per cell

=====

Material: CaPRh
Method: DFT, GGA-PBEsol
State: optimized geometry

a = 3.1763 Å, b = 3.1763 Å, c = 5.6134 Å
α = 106.43°, β = 106.43°, γ = 90.00°
Fractional coordinates of all 3 atoms:
P  0.2959  0.2959  0.5919
Rh  0.7085  0.7085  0.4170
Ca  0.9956  0.9956  0.9912

Computed properties:
energy of formation = -0.6913 eV/atom

=====

Material: Ca3GeCl2O4
Method: DFT, GGA-PBEsol
State: optimized geometry

a = 5.6913 Å, b = 10.3110 Å, c = 11.5563 Å
α = 90.00°, β = 90.00°, γ = 90.00°
Fractional coordinates of all 40 atoms:
Ge  0.3229  0.2500  0.7786
Ge  0.1771  0.2500  0.2786
Ge  0.8229  0.7500  0.7214
Ge  0.6771  0.7500  0.2214
O  0.8718  0.7500  0.1005
O  0.1086  0.7500  0.6640
O  0.3914  0.7500  0.1640
O  0.6282  0.7500  0.6005
O  0.7198  0.6169  0.8038
O  0.1282  0.2500  0.8995
O  0.7198  0.8831  0.8038
O  0.2802  0.1169  0.1962
O  0.3718  0.2500  0.3995
O  0.7802  0.6169  0.3038
O  0.7802  0.8831  0.3038
O  0.6086  0.2500  0.8360
O  0.2802  0.3831  0.1962
O  0.2198  0.1169  0.6962
O  0.2198  0.3831  0.6962
O  0.8914  0.2500  0.3360
Ca  0.0972  0.2500  0.5405
Ca  0.8844  0.4195  0.8356
Ca  0.1156  0.5805  0.1644
Ca  0.4028  0.2500  0.0405
Ca  0.3844  0.5805  0.6644
Ca  0.6156  0.0805  0.3356
Ca  0.3844  0.9195  0.6644
Ca  0.6156  0.4195  0.3356
Ca  0.1156  0.9195  0.1644
Ca  0.8844  0.0805  0.8356
Ca  0.5972  0.7500  0.9595
Ca  0.9028  0.7500  0.4595
Cl  0.2471  0.5672  0.9291
Cl  0.7471  0.0672  0.5709
Cl  0.7529  0.4328  0.0709
Cl  0.7529  0.0672  0.0709
Cl  0.2471  0.9328  0.9291
Cl  0.2529  0.5672  0.4291
Cl  0.2529  0.9328  0.4291
Cl  0.7471  0.4328  0.5709

Computed properties:
E = -247.35 eV per cell

=====

Material: CdNi2As
Method: DFT, GGA-PBEsol
State: optimized geometry

a = 2.8942 Å, b = 2.8942 Å, c = 7.9178 Å
α = 79.47°, β = 79.47°, γ = 60.00°
Fractional coordinates of all 4 atoms:
Ni  0.7597  0.7597  0.7210
Ni  0.2403  0.2403  0.2790
Cd  0.0000  0.0000  0.0000
As  0.5000  0.5000  0.5000

Computed properties:
polymorph energy (0 for the lowest one) = 0.000 eV/atom
energy of formation = -0.0073 eV/atom

=====

What did the second record say?
Material: LiLa2Hg
Method: DFT, GGA-PBEsol
State: optimized geometry

a = 3.5368 Å, b = 4.8682 Å, c = 6.5443 Å
α = 90.00°, β = 105.68°, γ = 90.00°
Fractional coordinates of all 4 atoms:
La  0.9600  0.0000  0.9200
La  0.2880  0.5000  0.5760
Hg  0.5670  0.5000  0.1340
Li  0.6819  0.0000  0.3637

Computed properties:
energy of formation = -0.2331 eV/atom